1.
! PBE U2Co3NiB12, relaxed; values from VASP
&SYSTEM
  ibrav = 0, nat = 18, ntyp = 4
/
ATOMIC_SPECIES
B 10.81 B.upf
Co 58.93 Co.upf
Ni 58.69 Ni.upf
U 238.03 U.upf
CELL_PARAMETERS angstrom
7.757 1.436 1.019
5.080 6.036 1.019
5.080 2.957 5.359
ATOMIC_POSITIONS crystal
B 0.051 0.679 0.051
B 0.949 0.949 0.321
B 0.977 0.651 0.651
B 0.321 0.949 0.949
Co 0.000 0.500 0.000
B 0.023 0.349 0.349
Co 0.500 0.000 0.000
B 0.949 0.321 0.949
B 0.349 0.023 0.349
Co 0.000 0.000 0.500
B 0.051 0.051 0.679
Ni 0.000 0.000 0.000
B 0.651 0.977 0.651
B 0.349 0.349 0.023
U 0.642 0.642 0.642
U 0.358 0.358 0.358
B 0.679 0.051 0.051
B 0.651 0.651 0.977
! symmetry	R-3m (166)
! DOS at the Fermi energy	18.9	states/eV per cell
! ΔH_f (0 K)	0.0213	eV per atom

2.
! PBE Y2Co3NiB12, relaxed; values from VASP
&SYSTEM
  ibrav = 0, nat = 18, ntyp = 4
/
ATOMIC_SPECIES
B 10.81 B.upf
Ni 58.69 Ni.upf
Y 88.91 Y.upf
Co 58.93 Co.upf
CELL_PARAMETERS angstrom
7.837 1.487 1.055
5.163 6.080 1.055
5.163 3.006 5.389
ATOMIC_POSITIONS crystal
B 0.954 0.954 0.316
Ni 0.000 0.000 0.000
B 0.346 0.026 0.346
Y 0.640 0.640 0.640
Co 0.000 0.500 0.000
Co 0.500 0.000 0.000
B 0.654 0.974 0.654
B 0.046 0.046 0.684
Co 0.000 0.000 0.500
B 0.026 0.346 0.346
B 0.974 0.654 0.654
B 0.046 0.684 0.046
Y 0.360 0.360 0.360
B 0.954 0.316 0.954
B 0.316 0.954 0.954
B 0.654 0.654 0.974
B 0.684 0.046 0.046
B 0.346 0.346 0.026
! symmetry	R-3m (166)
! DOS at the Fermi energy	10.3	states/eV per cell
! ΔH_f (0 K)	-0.0256	eV per atom

3.
! PBE YCoNiB2, relaxed; values from VASP
&SYSTEM
  ibrav = 0, nat = 5, ntyp = 4
/
ATOMIC_SPECIES
B 10.81 B.upf
Co 58.93 Co.upf
Ni 58.69 Ni.upf
Y 88.91 Y.upf
CELL_PARAMETERS angstrom
-2.167 -2.746 -0.227
1.290 -1.266 3.004
-2.907 4.442 1.075
ATOMIC_POSITIONS crystal
B 0.642 0.642 0.284
Co 0.750 0.250 0.500
Ni 0.250 0.750 0.500
B 0.358 0.358 0.716
Y 0.000 0.000 0.000
! symmetry	I-4m2 (119)
! DOS at the Fermi energy	2.9	states/eV per cell
! ΔH_f (0 K)	-0.5000	eV per atom

What is the DOS at the Fermi energy in the third record?
2.9 states/eV per cell